# 1
DFT (PBE) results for crystalline Ce2DyY3Tm6 at its relaxed geometry.

Cell: 6.0926 6.0926 11.6350 Å, 95.01 95.01 119.97°
With the nearest neighbours (Å) after each atom.
Fractional positions:
Ce 0.1666 0.8334 0.0000  6 Tm 3.49, 3 Ce 3.52, 3 Dy 3.52
Ce 0.8334 0.1666 0.0000  6 Tm 3.49, 3 Ce 3.52, 3 Dy 3.52
Dy 0.5000 0.5000 0.0000  6 Tm 3.50, 6 Ce 3.52
Y 0.0000 0.0000 0.5000  6 Y 3.52, 6 Tm 3.52-3.53
Y 0.3339 0.6661 0.5000  6 Y 3.50-3.53, 6 Tm 3.53-3.54
Y 0.6661 0.3339 0.5000  6 Y 3.50-3.53, 6 Tm 3.53-3.54
Tm 0.0813 0.4167 0.7521  2 Ce 3.49, 1 Dy 3.50, 6 Tm 3.51-3.54, 3 Y 3.53-3.54
Tm 0.2478 0.2478 0.2480  2 Ce 3.49, 1 Dy 3.50, 6 Tm 3.51-3.54, 3 Y 3.52-3.53
Tm 0.4167 0.0813 0.7521  2 Ce 3.49, 1 Dy 3.50, 6 Tm 3.51-3.54, 3 Y 3.53-3.54
Tm 0.5833 0.9187 0.2479  2 Ce 3.49, 1 Dy 3.50, 6 Tm 3.51-3.54, 3 Y 3.53-3.54
Tm 0.7522 0.7522 0.7520  2 Ce 3.49, 1 Dy 3.50, 6 Tm 3.51-3.54, 3 Y 3.52-3.53
Tm 0.9187 0.5833 0.2479  2 Ce 3.49, 1 Dy 3.50, 6 Tm 3.51-3.54, 3 Y 3.53-3.54

Volume (Å³/cell): 368
Energy relative to the elements (kJ/mol of formula units): 58.7
Raw total energy (eV per atom): -5.17



# 2
DFT (PBE) results for crystalline Ce3Sb4 at its relaxed geometry.

Cell: 9.0621 9.0621 6.3559 Å, 106.36 106.36 29.32°
With the nearest neighbours (Å) after each atom.
Fractional positions:
Ce 0.0000 0.0000 0.0000  6 Sb 3.17-3.21
Ce 0.1819 0.1819 0.6951  6 Sb 3.16-3.23
Ce 0.8181 0.8181 0.3049  6 Sb 3.16-3.23
Sb 0.1880 0.1880 0.2029  5 Ce 3.16-3.20
Sb 0.4449 0.4449 0.2789  1 Sb 2.91, 4 Ce 3.21-3.23
Sb 0.5551 0.5551 0.7211  1 Sb 2.91, 4 Ce 3.21-3.23
Sb 0.8120 0.8120 0.7971  5 Ce 3.16-3.20

Formation energy (no corrections) (eV/atom): -0.7092
Volume (Å³/cell): 244
Polymorph energy (0 for the lowest one) (eV/atom): 0.000
Raw total energy (eV per atom): -5.61



# 3
DFT (PBE) results for crystalline Ba2CaZr at its relaxed geometry.

Cell: 6.1849 6.1849 6.1849 Å, 60.00 60.00 60.00°
With the nearest neighbours (Å) after each atom.
Fractional positions:
Ba 0.2500 0.2500 0.2500  4 Zr 3.79, 4 Ca 3.79
Ba 0.7500 0.7500 0.7500  4 Zr 3.79, 4 Ca 3.79
Ca 0.0000 0.0000 0.0000  8 Ba 3.79
Zr 0.5000 0.5000 0.5000  8 Ba 3.79

Volume (Å³/cell): 167
Energy relative to the elements (kJ/mol of formula units): 213.7
Polymorph energy (0 for the lowest one) (eV/atom): 0.150
Raw total energy (eV per atom): -3.05